## A
# Tb3Tm2Sc3 | the Alexandria database | GGA-PBE | optimized geometry
data_Tb3Tm2Sc3
_symmetry_space_group_name_H-M 'C 1 2/m 1'
_symmetry_Int_Tables_number 12
_cell_length_a 22.9365
_cell_length_b 3.4658
_cell_length_c 5.9329
_cell_angle_alpha 90.00
_cell_angle_beta 104.60
_cell_angle_gamma 90.00
loop_
_symmetry_equiv_pos_as_xyz
'x,y,z'
'-x,-y,-z'
'-x,y,-z'
'x,-y,z'
'x+1/2,y+1/2,z'
'-x+1/2,-y+1/2,-z'
'-x+1/2,y+1/2,-z'
'x+1/2,-y+1/2,z'
loop_
_atom_site_label
_atom_site_fract_x
_atom_site_fract_y
_atom_site_fract_z
Tb1 0.0000 0.0000 0.0000
Tb2 0.1235 0.0000 0.4653
Tm1 0.2474 0.0000 0.2435
Sc1 0.0000 0.5000 0.5000
Sc2 0.1243 0.5000 0.9605
# magnetization	0.00	μB per cell

## B
# Tb3Tm2Sc3 | the Alexandria database | GGA-PBE | optimized geometry
data_Tb3Tm2Sc3
_symmetry_space_group_name_H-M 'I m m m'
_symmetry_Int_Tables_number 71
_symmetry_space_group_name_Hall '-I 2 2'
_cell_length_a 4.7784
_cell_length_b 4.9009
_cell_length_c 19.5040
_cell_angle_alpha 90.00
_cell_angle_beta 90.00
_cell_angle_gamma 90.00
loop_
_atom_site_label
_atom_site_fract_x
_atom_site_fract_y
_atom_site_fract_z
Tb1 0.0000 0.0000 0.0000
Tb2 0.0000 0.5000 0.1224
Tm1 0.0000 0.0000 0.2486
Sc1 0.0000 0.0000 0.5000
Sc2 0.0000 0.5000 0.3754
# magnetization	0.00	μB per cell

Which is the most stable structure? A is the most stable.

## A
# TbTmSc2 | the Alexandria database | GGA-PBE | optimized geometry
data_TbTmSc2
_symmetry_space_group_name_H-M 'P 1 21/c 1'
_symmetry_Int_Tables_number 14
_cell_length_a 6.6009
_cell_length_b 8.0513
_cell_length_c 8.5137
_cell_angle_alpha 90.00
_cell_angle_beta 90.04
_cell_angle_gamma 90.00
loop_
_symmetry_equiv_pos_as_xyz
'x,y,z'
'-x,-y,-z'
'-x,y+1/2,-z+1/2'
'x,-y+1/2,z+1/2'
loop_
_atom_site_label
_atom_site_fract_x
_atom_site_fract_y
_atom_site_fract_z
Tb1 0.1256 0.0311 0.3196
Tm1 0.3756 0.5234 0.1799
Sc1 0.1280 0.6679 0.4906
Sc2 0.3780 0.1678 0.0082
# magnetization	0.00	μB per cell

## B
# TbTmSc2 | the Alexandria database | GGA-PBE | optimized geometry
data_TbTmSc2
_symmetry_space_group_name_H-M 'R -3 m'
_symmetry_Int_Tables_number 166
_symmetry_space_group_name_Hall '-R 3 2"'
_cell_length_a 3.4096
_cell_length_b 3.4096
_cell_length_c 32.8093
_cell_angle_alpha 90.00
_cell_angle_beta 90.00
_cell_angle_gamma 120.00
loop_
_atom_site_label
_atom_site_fract_x
_atom_site_fract_y
_atom_site_fract_z
Tb1 0.0000 0.0000 0.0000
Tm1 0.0000 0.0000 0.5000
Sc1 0.0000 0.0000 0.2495
# magnetization	0.00	μB per cell

## C
# TbTmSc2 | the Alexandria database | GGA-PBE | optimized geometry
data_TbTmSc2
_symmetry_space_group_name_H-M 'F m -3 m'
_symmetry_Int_Tables_number 225
_symmetry_space_group_name_Hall '-F 4 2 3'
_cell_length_a 7.6197
_cell_length_b 7.6197
_cell_length_c 7.6197
_cell_angle_alpha 90.00
_cell_angle_beta 90.00
_cell_angle_gamma 90.00
loop_
_atom_site_label
_atom_site_fract_x
_atom_site_fract_y
_atom_site_fract_z
Tb1 0.0000 0.0000 0.0000
Tm1 0.0000 0.0000 0.5000
Sc1 0.2500 0.2500 0.2500
# magnetization	0.00	μB per cell

Which is the most stable structure? B is the most stable.

## A
# TbTmSc2 | the Alexandria database | GGA-PBE | optimized geometry
data_TbTmSc2
_symmetry_space_group_name_H-M 'R 3 m'
_symmetry_Int_Tables_number 160
_symmetry_space_group_name_Hall 'R 3 -2"'
_cell_length_a 3.4314
_cell_length_b 3.4314
_cell_length_c 32.5800
_cell_angle_alpha 90.00
_cell_angle_beta 90.00
_cell_angle_gamma 120.00
loop_
_atom_site_label
_atom_site_fract_x
_atom_site_fract_y
_atom_site_fract_z
Tb1 0.0000 0.0000 0.0000
Tm1 0.0000 0.0000 0.1658
Sc1 0.0000 0.0000 0.5822
Sc2 0.0000 0.0000 0.7500
# magnetization	0.00	μB per cell

## B
# TbTmSc2 | the Alexandria database | GGA-PBE | optimized geometry
data_TbTmSc2
_symmetry_space_group_name_H-M 'P 4/m m m'
_symmetry_Int_Tables_number 123
_symmetry_space_group_name_Hall '-P 4 2'
_cell_length_a 3.8458
_cell_length_b 3.8458
_cell_length_c 7.4736
_cell_angle_alpha 90.00
_cell_angle_beta 90.00
_cell_angle_gamma 90.00
loop_
_atom_site_label
_atom_site_fract_x
_atom_site_fract_y
_atom_site_fract_z
Tb1 0.0000 0.0000 0.0000
Tm1 0.0000 0.0000 0.5000
Sc1 0.5000 0.5000 0.2552
# magnetization	0.00	μB per cell

Which is the most stable structure? A is the most stable.

## A
# TbTmSc2 | the Alexandria database | GGA-PBE | optimized geometry
data_TbTmSc2
_symmetry_space_group_name_H-M 'P 4 m m'
_symmetry_Int_Tables_number 99
_cell_length_a 3.7420
_cell_length_b 3.7420
_cell_length_c 8.0656
_cell_angle_alpha 90.00
_cell_angle_beta 90.00
_cell_angle_gamma 90.00
loop_
_symmetry_equiv_pos_as_xyz
'x,y,z'
'-y,x,z'
'-x,-y,z'
'y,-x,z'
'-x,y,z'
'y,x,z'
'x,-y,z'
'-y,-x,z'
loop_
_atom_site_label
_atom_site_fract_x
_atom_site_fract_y
_atom_site_fract_z
Tb1 0.0000 0.0000 0.0000
Tm1 0.5000 0.5000 0.3057
Sc1 0.0000 0.0000 0.5488
Sc2 0.5000 0.5000 0.7468
# magnetization	0.00	μB per cell

## B
# TbTmSc2 | the Alexandria database | GGA-PBE | optimized geometry
data_TbTmSc2
_symmetry_space_group_name_H-M 'P 4/m m m'
_symmetry_Int_Tables_number 123
_symmetry_space_group_name_Hall '-P 4 2'
_cell_length_a 4.8529
_cell_length_b 4.8529
_cell_length_c 4.6880
_cell_angle_alpha 90.00
_cell_angle_beta 90.00
_cell_angle_gamma 90.00
loop_
_atom_site_label
_atom_site_fract_x
_atom_site_fract_y
_atom_site_fract_z
Tb1 0.0000 0.0000 0.0000
Tm1 0.5000 0.5000 0.0000
Sc1 0.0000 0.5000 0.5000
# magnetization	0.00	μB per cell

Which is the most stable structure? B is the most stable.

## A
# TbTm2Sc5 | the Alexandria database | GGA-PBE | optimized geometry
data_TbTm2Sc5
_symmetry_space_group_name_H-M 'I 4/m m m'
_symmetry_Int_Tables_number 139
_symmetry_space_group_name_Hall '-I 4 2'
_cell_length_a 6.7487
_cell_length_b 6.7487
_cell_length_c 9.3657
_cell_angle_alpha 90.00
_cell_angle_beta 90.00
_cell_angle_gamma 90.00
loop_
_atom_site_label
_atom_site_fract_x
_atom_site_fract_y
_atom_site_fract_z
Tb1 0.0000 0.0000 0.0000
Tm1 0.0000 0.5000 0.0000
Sc1 0.0000 0.0000 0.5000
Sc2 0.2500 0.2500 0.2500
# magnetization	0.00	μB per cell

## B
# TbTm2Sc5 | the Alexandria database | GGA-PBE | optimized geometry
data_TbTm2Sc5
_symmetry_space_group_name_H-M 'F m m 2'
_symmetry_Int_Tables_number 42
_symmetry_space_group_name_Hall 'F 2 -2'
_cell_length_a 6.8272
_cell_length_b 10.6408
_cell_length_c 11.8262
_cell_angle_alpha 90.00
_cell_angle_beta 90.00
_cell_angle_gamma 90.00
loop_
_atom_site_label
_atom_site_fract_x
_atom_site_fract_y
_atom_site_fract_z
Tb1 0.0000 0.0000 0.0000
Tm1 0.0000 0.2451 0.6693
Sc1 0.0000 0.0000 0.4986
Sc2 0.2479 0.0000 0.2535
Sc3 0.2500 0.2500 0.4164
# magnetization	0.02	μB per cell

Which is the most stable structure? B is the most stable.

## A
# Tb2TmSc7 | the Alexandria database | GGA-PBE | optimized geometry
data_Tb2TmSc7
_symmetry_space_group_name_H-M 'C m m m'
_symmetry_Int_Tables_number 65
_symmetry_space_group_name_Hall '-C 2 2'
_cell_length_a 6.0378
_cell_length_b 27.0891
_cell_length_c 3.3155
_cell_angle_alpha 90.00
_cell_angle_beta 90.00
_cell_angle_gamma 90.00
loop_
_atom_site_label
_atom_site_fract_x
_atom_site_fract_y
_atom_site_fract_z
Tb1 0.0000 0.2103 0.0000
Tm1 0.0000 0.5000 0.5000
Sc1 0.0000 0.0000 0.0000
Sc2 0.0000 0.3185 0.5000
Sc3 0.2462 0.4022 0.0000
# magnetization	0.00	μB per cell

## B
# Tb2TmSc7 | the Alexandria database | GGA-PBE | optimized geometry
data_Tb2TmSc7
_symmetry_space_group_name_H-M 'C 1 2/m 1'
_symmetry_Int_Tables_number 12
_cell_length_a 17.3944
_cell_length_b 3.3486
_cell_length_c 9.4243
_cell_angle_alpha 90.00
_cell_angle_beta 105.90
_cell_angle_gamma 90.00
loop_
_symmetry_equiv_pos_as_xyz
'x,y,z'
'-x,-y,-z'
'-x,y,-z'
'x,-y,z'
'x+1/2,y+1/2,z'
'-x+1/2,-y+1/2,-z'
'-x+1/2,y+1/2,-z'
'x+1/2,-y+1/2,z'
loop_
_atom_site_label
_atom_site_fract_x
_atom_site_fract_y
_atom_site_fract_z
Tb1 0.1990 0.0000 0.1050
Tm1 0.0000 0.0000 0.0000
Sc1 0.0000 0.0000 0.5000
Sc2 0.0985 0.5000 0.3090
Sc3 0.0989 0.5000 0.7907
Sc4 0.1982 0.0000 0.5938
# magnetization	0.00	μB per cell

Which is the most stable structure? B is the most stable.

## A
# Tb8Tm2Sc | the Alexandria database | GGA-PBE | optimized geometry
data_Tb8Tm2Sc
_symmetry_space_group_name_H-M 'I m m m'
_symmetry_Int_Tables_number 71
_symmetry_space_group_name_Hall '-I 2 2'
_cell_length_a 5.5144
_cell_length_b 7.9522
_cell_length_c 15.7760
_cell_angle_alpha 90.00
_cell_angle_beta 90.00
_cell_angle_gamma 90.00
loop_
_atom_site_label
_atom_site_fract_x
_atom_site_fract_y
_atom_site_fract_z
Tb1 0.0000 0.0000 0.1655
Tb2 0.0000 0.2089 0.3665
Tb3 0.0000 0.2857 0.0000
Tm1 0.0000 0.5000 0.2002
Sc1 0.0000 0.5000 0.5000
# magnetization	0.00	μB per cell

## B
# Tb8Tm2Sc | the Alexandria database | GGA-PBE | optimized geometry
data_Tb8Tm2Sc
_symmetry_space_group_name_H-M 'C 1 2/m 1'
_symmetry_Int_Tables_number 12
_cell_length_a 18.6461
_cell_length_b 6.8622
_cell_length_c 5.5947
_cell_angle_alpha 90.00
_cell_angle_beta 92.56
_cell_angle_gamma 90.00
loop_
_symmetry_equiv_pos_as_xyz
'x,y,z'
'-x,-y,-z'
'-x,y,-z'
'x,-y,z'
'x+1/2,y+1/2,z'
'-x+1/2,-y+1/2,-z'
'-x+1/2,y+1/2,-z'
'x+1/2,-y+1/2,z'
loop_
_atom_site_label
_atom_site_fract_x
_atom_site_fract_y
_atom_site_fract_z
Tb1 0.0459 0.0000 0.2337
Tb2 0.1299 0.2355 0.7376
Tb3 0.1849 0.5000 0.2311
Tm1 0.2166 0.0000 0.2565
Sc1 0.0000 0.5000 0.0000
# magnetization	0.00	μB per cell

Which is the most stable structure? A is the most stable.

## A
# Tb3TmSc2 | the Alexandria database | GGA-PBE | optimized geometry
data_Tb3TmSc2
_symmetry_space_group_name_H-M 'C 1 2/m 1'
_symmetry_Int_Tables_number 12
_cell_length_a 22.6141
_cell_length_b 3.3702
_cell_length_c 9.8549
_cell_angle_alpha 90.00
_cell_angle_beta 107.89
_cell_angle_gamma 90.00
loop_
_symmetry_equiv_pos_as_xyz
'x,y,z'
'-x,-y,-z'
'-x,y,-z'
'x,-y,z'
'x+1/2,y+1/2,z'
'-x+1/2,-y+1/2,-z'
'-x+1/2,y+1/2,-z'
'x+1/2,-y+1/2,z'
loop_
_atom_site_label
_atom_site_fract_x
_atom_site_fract_y
_atom_site_fract_z
Tb1 0.0594 0.0000 0.4303
Tb2 0.0701 0.5000 0.7762
Tb3 0.1974 0.0000 0.7085
Tm1 0.1863 0.0000 0.0440
Sc1 0.0727 0.5000 0.1370
Sc2 0.1917 0.0000 0.3717
# magnetization	0.00	μB per cell

## B
# Tb3TmSc2 | the Alexandria database | GGA-PBE | optimized geometry
data_Tb3TmSc2
_symmetry_space_group_name_H-M 'C m c m'
_symmetry_Int_Tables_number 63
_symmetry_space_group_name_Hall '-C 2c 2'
_cell_length_a 14.3397
_cell_length_b 9.6371
_cell_length_c 5.4325
_cell_angle_alpha 90.00
_cell_angle_beta 90.00
_cell_angle_gamma 90.00
loop_
_atom_site_label
_atom_site_fract_x
_atom_site_fract_y
_atom_site_fract_z
Tb1 0.0000 0.0931 0.2500
Tb2 0.2447 0.1325 0.2500
Tm1 0.0000 0.2799 0.7500
Sc1 0.1049 0.4049 0.2500
# magnetization	0.00	μB per cell

Which is the most stable structure? A is the most stable.

## A
# TbTm4Sc | the Alexandria database | GGA-PBE | optimized geometry
data_TbTm4Sc
_symmetry_space_group_name_H-M 'C 1 2/c 1'
_symmetry_Int_Tables_number 15
_cell_length_a 8.6792
_cell_length_b 14.2832
_cell_length_c 6.2074
_cell_angle_alpha 90.00
_cell_angle_beta 109.83
_cell_angle_gamma 90.00
loop_
_symmetry_equiv_pos_as_xyz
'x,y,z'
'-x,-y,-z'
'-x,y,-z+1/2'
'x,-y,z+1/2'
'x+1/2,y+1/2,z'
'-x+1/2,-y+1/2,-z'
'-x+1/2,y+1/2,-z+1/2'
'x+1/2,-y+1/2,z+1/2'
loop_
_atom_site_label
_atom_site_fract_x
_atom_site_fract_y
_atom_site_fract_z
Tb1 0.0000 0.0872 0.2500
Tm1 0.0963 0.3071 0.5372
Tm2 0.2090 0.1256 0.8769
Sc1 0.0000 0.4994 0.7500
# magnetization	0.00	μB per cell

## B
# TbTm4Sc | the Alexandria database | GGA-PBE | optimized geometry
data_TbTm4Sc
_symmetry_space_group_name_H-M 'P m m m'
_symmetry_Int_Tables_number 47
_cell_length_a 3.3888
_cell_length_b 5.4833
_cell_length_c 9.4593
_cell_angle_alpha 90.00
_cell_angle_beta 90.00
_cell_angle_gamma 90.00
loop_
_symmetry_equiv_pos_as_xyz
'x,y,z'
'-x,-y,-z'
'-x,-y,z'
'x,y,-z'
'x,-y,-z'
'-x,y,z'
'-x,y,-z'
'x,-y,z'
loop_
_atom_site_label
_atom_site_fract_x
_atom_site_fract_y
_atom_site_fract_z
Tb1 0.0000 0.0000 0.0000
Tm1 0.5000 0.0000 0.3379
Tm2 0.5000 0.5000 0.1721
Sc1 0.0000 0.5000 0.5000
# magnetization	0.00	μB per cell

Which is the most stable structure? B is the most stable.

## A
# Tb7Tm12Sc | the Alexandria database | GGA-PBE | optimized geometry
data_Tb7Tm12Sc
_symmetry_space_group_name_H-M 'R -3'
_symmetry_Int_Tables_number 148
_symmetry_space_group_name_Hall '-R 3'
_cell_length_a 18.3942
_cell_length_b 18.3942
_cell_length_c 6.5805
_cell_angle_alpha 90.00
_cell_angle_beta 90.00
_cell_angle_gamma 120.00
loop_
_atom_site_label
_atom_site_fract_x
_atom_site_fract_y
_atom_site_fract_z
Tb1 0.0000 0.0000 0.0000
Tb2 0.0103 0.8551 0.2957
Tm1 0.0001 0.2135 0.2041
Tm2 0.0084 0.4728 0.2368
Sc1 0.0000 0.0000 0.5000
# magnetization	0.00	μB per cell

## B
# Tb7Tm12Sc | the Alexandria database | GGA-PBE | optimized geometry
data_Tb7Tm12Sc
_symmetry_space_group_name_H-M 'R -3'
_symmetry_Int_Tables_number 148
_symmetry_space_group_name_Hall '-R 3'
_cell_length_a 12.6124
_cell_length_b 12.6124
_cell_length_c 13.4811
_cell_angle_alpha 90.00
_cell_angle_beta 90.00
_cell_angle_gamma 120.00
loop_
_atom_site_label
_atom_site_fract_x
_atom_site_fract_y
_atom_site_fract_z
Tb1 0.0000 0.0000 0.0000
Tb2 0.0676 0.2008 0.3554
Tm1 0.0048 0.5675 0.7450
Tm2 0.0670 0.8679 0.8432
Sc1 0.0000 0.0000 0.5000
# magnetization	0.00	μB per cell

Which is the most stable structure? B is the most stable.

## A
# Tb5Tm2Sc5 | the Alexandria database | GGA-PBE | optimized geometry
data_Tb5Tm2Sc5
_symmetry_space_group_name_H-M 'C 1 2/m 1'
_symmetry_Int_Tables_number 12
_cell_length_a 14.4978
_cell_length_b 4.8318
_cell_length_c 10.8549
_cell_angle_alpha 90.00
_cell_angle_beta 116.51
_cell_angle_gamma 90.00
loop_
_symmetry_equiv_pos_as_xyz
'x,y,z'
'-x,-y,-z'
'-x,y,-z'
'x,-y,z'
'x+1/2,y+1/2,z'
'-x+1/2,-y+1/2,-z'
'-x+1/2,y+1/2,-z'
'x+1/2,-y+1/2,z'
loop_
_atom_site_label
_atom_site_fract_x
_atom_site_fract_y
_atom_site_fract_z
Tb1 0.0000 0.0000 0.0000
Tb2 0.0874 0.0000 0.7520
Tb3 0.1646 0.0000 0.4994
Tm1 0.0834 0.5000 0.2461
Sc1 0.0000 0.5000 0.5000
Sc2 0.1709 0.5000 0.0019
Sc3 0.2494 0.0000 0.2455
# magnetization	0.00	μB per cell

## B
# Tb5Tm2Sc5 | the Alexandria database | GGA-PBE | optimized geometry
data_Tb5Tm2Sc5
_symmetry_space_group_name_H-M 'C 1 2/m 1'
_symmetry_Int_Tables_number 12
_cell_length_a 11.5369
_cell_length_b 5.3929
_cell_length_c 11.5468
_cell_angle_alpha 90.00
_cell_angle_beta 109.07
_cell_angle_gamma 90.00
loop_
_symmetry_equiv_pos_as_xyz
'x,y,z'
'-x,-y,-z'
'-x,y,-z'
'x,-y,z'
'x+1/2,y+1/2,z'
'-x+1/2,-y+1/2,-z'
'-x+1/2,y+1/2,-z'
'x+1/2,-y+1/2,z'
loop_
_atom_site_label
_atom_site_fract_x
_atom_site_fract_y
_atom_site_fract_z
Tb1 0.0000 0.0000 0.0000
Tb2 0.0388 0.0000 0.7078
Tb3 0.2478 0.5000 0.7555
Tm1 0.2123 0.0000 0.5450
Sc1 0.0000 0.5000 0.5000
Sc2 0.0406 0.5000 0.2019
Sc3 0.2075 0.5000 0.0406
# magnetization	0.00	μB per cell

Which is the most stable structure? A is the most stable.